1.
Density functional theory data (PBE-GGA) for TbGe2Pt2Rh after structural relaxation.

## Properties
Electronic total energy in eV/atom: -6.366
D(E_F) in states/eV per atom: 0.585
Formation enthalpy at 0 K in eV/atom: -0.8160

a b c (Å): 4.3504 4.3504 6.4199
angles (deg): 90.00 90.00 120.00
Space group P-3m1 (No. 164)
Symmetry-distinct sites (fractional):
Tb  0.0000  0.0000  0.0000 [1 per cell]
Ge  0.3333  0.6667  0.3048 [2 per cell]
Pt  0.3333  0.6667  0.7177 [2 per cell]
Rh  0.0000  0.0000  0.5000 [1 per cell]



2.
Density functional theory data (PBE-GGA) for Tc2GePtRh after structural relaxation.

## Properties
Electronic total energy in eV/atom: -6.032
D(E_F) in states/eV per atom: 1.689
Formation enthalpy at 0 K in eV/atom: 1.7159

a b c (Å): 4.726 4.726 4.900
angles (deg): 90.00 90.00 90.00
Space group P4/mmm (No. 123)
Symmetry-distinct sites (fractional):
Tc  0.000  0.500  0.000 [2 per cell]
Ge  0.000  0.000  0.500 [1 per cell]
Pt  0.500  0.500  0.000 [1 per cell]
Rh  0.500  0.500  0.500 [1 per cell]



| no. | mass density (g cm⁻³) |
| --- | --- |
| 1 | 12.58 |
| 2 | 8.60 |